This record from Alexandria via LeMat-Bulk describes an optimized crystal structure of Ba4Ag. The functional is PBE.

The space group is Fdd2 (No. 43) and the conventional cell measures 15.419, 16.170 and 9.297 Å, with angles of 90.00, 90.00 and 90.00 degrees. The inequivalent atoms are Ba at (0.121, 0.334, 0.000), Ba at (0.124, 0.332, 0.500) and Ag at (0.000, 0.000, 0.993).

Its volume is 2317.9 Å³ per cell. The excess energy over the best structure of this formula in the dataset comes out at 0.004 eV/atom. The value obtained for the calculated formation energy is -77 meV per atom.

This record from Alexandria via LeMat-Bulk describes an optimized crystal structure of BaAg. The functional is PBE.

The space group is R-3m (No. 166, hexagonal axes) and the conventional cell measures 4.8868, 4.8868 and 24.6596 Å, with angles of 90.00, 90.00 and 120.00 degrees. The inequivalent atoms are Ba at (0.0000, 0.0000, 0.0859) and Ag at (0.0000, 0.0000, 0.3331).

Its volume is 510.0 Å³ per cell. The value obtained for the calculated formation energy is -239 meV per atom.

> Which of these has the lowest calculated formation energy?

BaAg

> Among the records above, which one has the lowest calculated formation energy?

BaAg

> Which value of calculated formation energy does entry 2 give?

-239 meV per atom